{"formula": "MgP2Pt7", "functional": "PBE-GGA", "state": "optimized geometry", "cell": [[-1.991, 1.991, 9.878], [1.991, -1.991, 9.878], [1.991, 1.991, -9.878]], "species": ["Mg", "P", "P", "Pt", "Pt", "Pt", "Pt", "Pt", "Pt", "Pt"], "frac_coords": [[0.000, 0.000, 0.000], [0.329, 0.329, 0.000], [0.671, 0.671, 0.000], [0.104, 0.604, 0.500], [0.250, 0.750, 0.500], [0.396, 0.896, 0.500], [0.500, 0.500, 0.000], [0.604, 0.104, 0.500], [0.750, 0.250, 0.500], [0.896, 0.396, 0.500]], "dos_ef_per_ev_atom": 0.264, "total_energy_ev_per_atom": -5.98, "delta_e_f_mev_per_atom": -515}